No. 1
! BaYAsBr2 | Alexandria | PBE | relaxed; values from VASP
&SYSTEM
  ibrav = 0, nat = 5, ntyp = 4
/
ATOMIC_SPECIES
Ba 137.33 Ba.upf
Y 88.91 Y.upf
As 74.92 As.upf
Br 79.90 Br.upf
ATOMIC_POSITIONS crystal
Ba 0.000 0.000 0.000
Y 0.500 0.500 0.500
As 0.000 0.000 0.500
Br 0.000 0.500 0.000
Br 0.500 0.000 0.000
CELL_PARAMETERS angstrom
5.866 0.000 0.000
0.000 5.866 0.000
0.000 0.000 6.304
! SG: P4/mmm, No. 123
! E_form (uncorrected): -386 meV/atom
! offset from the most stable computed form: 1042 meV per atom

No. 2
! TbAl2Cu2 | Alexandria | PBE | relaxed; values from VASP
&SYSTEM
  ibrav = 0, nat = 10, ntyp = 3
/
ATOMIC_SPECIES
Tb 158.93 Tb.upf
Al 26.98 Al.upf
Cu 63.55 Cu.upf
ATOMIC_POSITIONS crystal
Tb 0.000 0.000 0.000
Tb 0.500 0.500 0.500
Al 0.000 0.500 0.250
Al 0.000 0.500 0.750
Al 0.500 0.000 0.250
Al 0.500 0.000 0.750
Cu 0.000 0.000 0.387
Cu 0.000 0.000 0.613
Cu 0.500 0.500 0.113
Cu 0.500 0.500 0.887
CELL_PARAMETERS angstrom
4.028 0.000 0.000
0.000 4.028 0.000
0.000 0.000 10.750
! DFT total energy: -44.88 eV/cell
! SG: I4/mmm, No. 139

No. 3
! SrTbPrSm | Alexandria | PBE | relaxed; values from VASP
&SYSTEM
  ibrav = 0, nat = 16, ntyp = 4
/
ATOMIC_SPECIES
Sr 87.62 Sr.upf
Tb 158.93 Tb.upf
Pr 140.91 Pr.upf
Sm 150.36 Sm.upf
ATOMIC_POSITIONS crystal
Sr 0.000 0.000 0.000
Sr 0.000 0.500 0.500
Sr 0.500 0.000 0.500
Sr 0.500 0.500 0.000
Tb 0.000 0.000 0.500
Tb 0.000 0.500 0.000
Tb 0.500 0.000 0.000
Tb 0.500 0.500 0.500
Pr 0.250 0.250 0.750
Pr 0.250 0.750 0.250
Pr 0.750 0.250 0.250
Pr 0.750 0.750 0.750
Sm 0.250 0.250 0.250
Sm 0.250 0.750 0.750
Sm 0.750 0.250 0.750
Sm 0.750 0.750 0.250
CELL_PARAMETERS angstrom
8.435 0.000 0.000
0.000 8.435 0.000
0.000 0.000 8.435
! DFT total energy: -59.71 eV/cell
! SG: F-43m, No. 216

No. 4
! K3SbS4 | Alexandria | PBE | relaxed; values from VASP
&SYSTEM
  ibrav = 0, nat = 16, ntyp = 3
/
ATOMIC_SPECIES
K 39.10 K.upf
Sb 121.76 Sb.upf
S 32.06 S.upf
ATOMIC_POSITIONS crystal
K 0.000 0.000 0.500
K 0.000 0.500 0.000
K 0.000 0.500 0.500
K 0.500 0.000 0.000
K 0.500 0.000 0.500
K 0.500 0.500 0.000
Sb 0.000 0.000 0.000
Sb 0.500 0.500 0.500
S 0.175 0.175 0.825
S 0.175 0.825 0.175
S 0.325 0.325 0.325
S 0.325 0.675 0.675
S 0.675 0.325 0.675
S 0.675 0.675 0.325
S 0.825 0.175 0.175
S 0.825 0.825 0.825
CELL_PARAMETERS angstrom
7.863 0.000 0.000
0.000 7.863 0.000
0.000 0.000 7.863
! SG: I-43m, No. 217
! E_form (uncorrected): -887 meV/atom
! offset from the most stable computed form: 8 meV per atom

No. 5
! K3TlP2O8 | Alexandria | PBE | relaxed; values from VASP
&SYSTEM
  ibrav = 0, nat = 14, ntyp = 4
/
ATOMIC_SPECIES
K 39.10 K.upf
Tl 204.38 Tl.upf
P 30.97 P.upf
O 16.00 O.upf
ATOMIC_POSITIONS crystal
K 0.000 0.000 0.000
K 0.333 0.667 0.740
K 0.667 0.333 0.260
Tl 0.000 0.000 0.500
P 0.333 0.667 0.257
P 0.667 0.333 0.743
O 0.181 0.362 0.321
O 0.181 0.819 0.321
O 0.333 0.667 0.065
O 0.362 0.181 0.679
O 0.638 0.819 0.321
O 0.667 0.333 0.935
O 0.819 0.181 0.679
O 0.819 0.638 0.679
CELL_PARAMETERS angstrom
5.635 0.000 0.000
-2.817 4.880 0.000
0.000 0.000 7.933
! SG: P-3m1, No. 164
! E_form (uncorrected): -1956 meV/atom

No. 6
! PrYIn | Alexandria | PBE | relaxed; values from VASP
&SYSTEM
  ibrav = 0, nat = 6, ntyp = 3
/
ATOMIC_SPECIES
Pr 140.91 Pr.upf
Y 88.91 Y.upf
In 114.82 In.upf
ATOMIC_POSITIONS crystal
Pr 0.000 0.000 0.000
Pr 0.000 0.000 0.500
Y 0.333 0.667 0.250
Y 0.667 0.333 0.750
In 0.333 0.667 0.750
In 0.667 0.333 0.250
CELL_PARAMETERS angstrom
5.523 0.000 0.000
-2.761 4.783 0.000
0.000 0.000 6.816
! SG: P6_3/mmc, No. 194
! offset from the most stable computed form: 0 meV per atom

No. 7
! InTc2Os | Alexandria | PBE | relaxed; values from VASP
&SYSTEM
  ibrav = 0, nat = 12, ntyp = 3
/
ATOMIC_SPECIES
In 114.82 In.upf
Tc 98.00 Tc.upf
Os 190.23 Os.upf
ATOMIC_POSITIONS crystal
In 0.000 0.000 0.000
In 0.333 0.667 0.667
In 0.667 0.333 0.333
Tc 0.000 0.000 0.244
Tc 0.000 0.000 0.756
Tc 0.333 0.667 0.422
Tc 0.333 0.667 0.911
Tc 0.667 0.333 0.089
Tc 0.667 0.333 0.578
Os 0.000 0.000 0.500
Os 0.333 0.667 0.167
Os 0.667 0.333 0.833
CELL_PARAMETERS angstrom
2.848 0.000 0.000
-1.424 2.466 0.000
0.000 0.000 27.177
! DFT total energy: -100.85 eV/cell
! SG: R-3m, No. 166

No. 8
! ThTiS3 | Alexandria | PBE | relaxed; values from VASP
&SYSTEM
  ibrav = 0, nat = 10, ntyp = 3
/
ATOMIC_SPECIES
Th 232.04 Th.upf
Ti 47.87 Ti.upf
S 32.06 S.upf
ATOMIC_POSITIONS crystal
Th 0.167 0.833 0.500
Th 0.833 0.167 0.000
Ti 0.393 0.607 0.385
Ti 0.607 0.393 0.885
S 0.067 0.933 0.791
S 0.284 0.716 0.246
S 0.380 0.620 0.753
S 0.620 0.380 0.253
S 0.716 0.284 0.746
S 0.933 0.067 0.291
CELL_PARAMETERS angstrom
2.101 -10.377 0.000
2.101 10.377 0.000
0.000 0.000 6.363
! SG: Cmc2_1, No. 36
! E_form (uncorrected): -1432 meV/atom

No. 9
! VH2I8 | Alexandria | PBE | relaxed; values from VASP
&SYSTEM
  ibrav = 0, nat = 11, ntyp = 3
/
ATOMIC_SPECIES
V 50.94 V.upf
H 1.01 H.upf
I 126.90 I.upf
ATOMIC_POSITIONS crystal
V 0.000 0.000 0.000
H 0.263 0.263 0.964
H 0.737 0.737 0.036
I 0.139 0.737 0.264
I 0.150 0.150 0.243
I 0.263 0.861 0.736
I 0.344 0.344 0.791
I 0.656 0.656 0.209
I 0.737 0.139 0.264
I 0.850 0.850 0.757
I 0.861 0.263 0.736
CELL_PARAMETERS angstrom
7.841 -4.734 0.000
7.841 4.734 0.000
-0.285 0.000 5.951
! DFT total energy: -29.01 eV/cell
! SG: C2/m, No. 12

No. 10
! BeHPd4 | Alexandria | PBE | relaxed; values from VASP
&SYSTEM
  ibrav = 0, nat = 12, ntyp = 3
/
ATOMIC_SPECIES
Be 9.01 Be.upf
H 1.01 H.upf
Pd 106.42 Pd.upf
ATOMIC_POSITIONS crystal
Be 0.000 0.000 0.000
Be 0.500 0.500 0.000
H 0.000 0.000 0.500
H 0.500 0.500 0.500
Pd 0.165 0.500 0.158
Pd 0.167 0.500 0.616
Pd 0.333 0.000 0.384
Pd 0.335 0.000 0.842
Pd 0.665 0.000 0.158
Pd 0.667 0.000 0.616
Pd 0.833 0.500 0.384
Pd 0.835 0.500 0.842
CELL_PARAMETERS angstrom
4.884 0.000 0.000
0.000 2.824 0.000
-0.024 0.000 10.489
! SG: C2/m, No. 12
! offset from the most stable computed form: 6 meV per atom

No. 11
! Li2CaEr | Alexandria | PBE | relaxed; values from VASP
&SYSTEM
  ibrav = 0, nat = 16, ntyp = 3
/
ATOMIC_SPECIES
Li 6.94 Li.upf
Ca 40.08 Ca.upf
Er 167.26 Er.upf
ATOMIC_POSITIONS crystal
Li 0.250 0.250 0.250
Li 0.250 0.250 0.750
Li 0.250 0.750 0.250
Li 0.250 0.750 0.750
Li 0.750 0.250 0.250
Li 0.750 0.250 0.750
Li 0.750 0.750 0.250
Li 0.750 0.750 0.750
Ca 0.000 0.000 0.000
Ca 0.000 0.500 0.500
Ca 0.500 0.000 0.500
Ca 0.500 0.500 0.000
Er 0.000 0.000 0.500
Er 0.000 0.500 0.000
Er 0.500 0.000 0.000
Er 0.500 0.500 0.500
CELL_PARAMETERS angstrom
7.600 0.000 0.000
0.000 7.600 0.000
0.000 0.000 7.600
! SG: Fm-3m, No. 225
! offset from the most stable computed form: 38 meV per atom

No. 12
! Hg2IrBr | Alexandria | PBE | relaxed; values from VASP
&SYSTEM
  ibrav = 0, nat = 4, ntyp = 3
/
ATOMIC_SPECIES
Hg 200.59 Hg.upf
Ir 192.22 Ir.upf
Br 79.90 Br.upf
ATOMIC_POSITIONS crystal
Hg 0.000 0.000 0.000
Hg 0.500 0.500 0.000
Ir 0.000 0.500 0.500
Br 0.500 0.000 0.500
CELL_PARAMETERS angstrom
3.147 0.000 0.000
0.000 4.751 0.000
0.000 0.000 5.594
! SG: Pmmm, No. 47
! E_form (uncorrected): 717 meV/atom
! offset from the most stable computed form: 407 meV per atom